A plane-wave DFT calculation with PBE-GGA was carried out for a relaxed structure of Pm8Ga2Co.

Cell lengths 5.4680, 6.8928, 16.0902 Å; angles 90.00, 90.00, 90.00 degrees
With the nearest neighbours (Å) after each atom.
Space group Immm (No. 71)
One atom of each set of equivalent atoms:
Pm  0.0000  0.0000  0.1999 x4  8 Pm 3.27-3.64, 4 Ga 3.31-3.46
Pm  0.0000  0.2365  0.3759 x8  1 Co 2.70
Pm  0.0000  0.2472  0.0000 x4  2 Co 3.22, 6 Pm 3.39-3.48, 2 Ga 3.43
Ga  0.0000  0.5000  0.1837 x4  12 Pm 3.31-3.59
Co  0.0000  0.5000  0.5000 x2  4 Pm 2.70

Relative energy among the computed polymorphs, meV/atom: 44
ΔH_f (0 K), eV per atom: -0.1610
Magnetization, μB per formula unit: 0.00


A plane-wave DFT calculation with PBE-GGA was carried out for a relaxed structure of PmGa4Co4.

Cell lengths 5.5756, 5.5756, 8.6344 Å; angles 90.00, 90.00, 90.00 degrees
With the nearest neighbours (Å) after each atom.
Space group P4_2/nmc (No. 137, origin choice 2)
One atom of each set of equivalent atoms:
Pm  0.2500  0.7500  0.2500 x2  4 Ga 3.05, 8 Co 3.13
Ga  0.0275  0.2500  0.0544 x8  5 Co 2.40-2.54, 1 Ga 2.48
Co  0.0333  0.2500  0.3384 x8  5 Ga 2.40-2.54, 1 Co 2.42

ΔH_f (0 K), eV per atom: -0.2793
Magnetization, μB per formula unit: 2.04


A plane-wave DFT calculation with PBE-GGA was carried out for a relaxed structure of Pm2Ga2Co3.

Cell lengths 10.4533, 4.2694, 6.3931 Å; angles 90.00, 118.89, 90.00 degrees
With the nearest neighbours (Å) after each atom.
Space group C2/m (No. 12)
One atom of each set of equivalent atoms:
Pm  0.1668  0.0000  0.2595 x4  5 Co 2.88-3.07, 4 Ga 3.04-3.13
Ga  0.1259  0.0000  0.7404 x4  5 Co 2.58-2.83
Co  0.0000  0.5000  0.5000 x2  2 Co 2.37, 4 Ga 2.59
Co  0.0746  0.5000  0.9137 x4  2 Co 2.31-2.37, 2 Ga 2.58

ΔH_f (0 K), eV per atom: -0.2775
Magnetization, μB per formula unit: 2.88


Which formula does entry 3 have?
Pm2Ga2Co3


Look up the magnetization of the third one.
2.88 μB per formula unit


Which of these has the lowest ΔH_f (0 K)?
PmGa4Co4


Which formula does entry 1 have?
Pm8Ga2Co